! PBE Ca2SnHg8, relaxed; values from VASP
&SYSTEM
  ibrav = 0, nat = 11, ntyp = 3
/
ATOMIC_SPECIES
Ca 40.08 Ca.upf
Sn 118.71 Sn.upf
Hg 200.59 Hg.upf
ATOMIC_POSITIONS angstrom
Ca 3.303 0.000 1.219
Ca 11.596 0.000 5.602
Sn 7.449 0.000 3.410
Hg -0.057 0.000 1.507
Hg 1.021 0.000 4.671
Hg 4.469 0.000 4.189
Hg 6.612 0.000 0.474
Hg 8.287 0.000 6.346
Hg 10.430 0.000 2.631
Hg 13.878 0.000 2.149
Hg 14.956 0.000 5.313
CELL_PARAMETERS angstrom
8.648 -2.441 0.000
8.648 2.441 0.000
-2.398 0.000 6.820
! * E_form: -2.71 eV/f.u.
! * Fermi-level density of states: 0.40 states/eV/atom
! * distance to the lowest polymorph of the same formula: 20 meV/atom
! * total moment: 0.0 μB/cell
! * crystal system: monoclinic
! * total energy: -13.13 eV per cell



! PBE TlCuIr2, relaxed; values from VASP
&SYSTEM
  ibrav = 0, nat = 4, ntyp = 3
/
ATOMIC_SPECIES
Tl 204.38 Tl.upf
Cu 63.55 Cu.upf
Ir 192.22 Ir.upf
ATOMIC_POSITIONS angstrom
Tl 0.000 0.000 0.000
Cu 4.047 0.000 2.451
Ir 1.540 0.000 3.538
Ir 6.554 0.000 1.365
CELL_PARAMETERS angstrom
4.499 -1.451 0.000
4.499 1.451 0.000
-0.904 0.000 4.902
! * E_form: 1.45 eV/f.u.
! * Fermi-level density of states: 0.55 states/eV/atom
! * distance to the lowest polymorph of the same formula: 0 meV/atom
! * total moment: 0.0 μB/cell
! * crystal system: monoclinic
! * total energy: -22.74 eV per cell



! PBE Rb2DySbTe4, relaxed; values from VASP
&SYSTEM
  ibrav = 0, nat = 16, ntyp = 4
/
ATOMIC_SPECIES
Rb 85.47 Rb.upf
Dy 162.50 Dy.upf
Sb 121.76 Sb.upf
Te 127.60 Te.upf
ATOMIC_POSITIONS angstrom
Rb 0.000 0.000 0.000
Rb -2.356 2.393 3.359
Rb 0.000 4.785 0.000
Rb 2.356 2.393 3.359
Dy 2.356 2.393 -3.359
Dy 2.356 -2.393 3.359
Sb 4.713 0.000 0.000
Sb 0.000 0.000 6.718
Te 4.713 -0.318 3.137
Te 2.658 2.393 -0.236
Te 6.768 2.393 -0.236
Te 4.713 4.467 -3.137
Te 0.000 0.318 9.854
Te -2.055 2.393 6.953
Te 2.055 2.393 6.953
Te 0.000 5.103 3.581
CELL_PARAMETERS angstrom
-4.713 4.785 6.718
4.713 -4.785 6.718
4.713 4.785 -6.718
! * total moment: 0.0 μB/cell
! * crystal system: orthorhombic
! * total energy: -60.98 eV per cell



! PBE Mg2AlAuC, relaxed; values from VASP
&SYSTEM
  ibrav = 0, nat = 5, ntyp = 4
/
ATOMIC_SPECIES
Mg 24.30 Mg.upf
Al 26.98 Al.upf
Au 196.97 Au.upf
C 12.01 C.upf
ATOMIC_POSITIONS angstrom
Mg 0.000 2.179 0.000
Mg 2.179 0.000 0.000
Al 0.000 0.000 2.229
Au 2.179 2.179 2.229
C 2.179 2.179 0.000
CELL_PARAMETERS angstrom
4.358 0.000 0.000
0.000 4.358 0.000
0.000 0.000 4.458
! * E_form: 1.76 eV/f.u.
! * Fermi-level density of states: 0.46 states/eV/atom
! * total moment: 0.0 μB/cell
! * crystal system: tetragonal
! * total energy: -17.68 eV per cell



! PBE CsScPd2, relaxed; values from VASP
&SYSTEM
  ibrav = 0, nat = 4, ntyp = 3
/
ATOMIC_SPECIES
Cs 132.91 Cs.upf
Sc 44.96 Sc.upf
Pd 106.42 Pd.upf
ATOMIC_POSITIONS angstrom
Cs 0.000 0.000 0.000
Sc 3.609 3.609 3.609
Pd 1.804 1.804 1.804
Pd 5.413 5.413 5.413
CELL_PARAMETERS angstrom
0.000 3.609 3.609
3.609 0.000 3.609
3.609 3.609 0.000
! * E_form: 0.90 eV/f.u.
! * Fermi-level density of states: 0.14 states/eV/atom
! * distance to the lowest polymorph of the same formula: 162 meV/atom
! * total moment: 0.0 μB/cell
! * crystal system: cubic
! * total energy: -16.68 eV per cell



! PBE Rb2LiZn2, relaxed; values from VASP
&SYSTEM
  ibrav = 0, nat = 10, ntyp = 3
/
ATOMIC_SPECIES
Rb 85.47 Rb.upf
Li 6.94 Li.upf
Zn 65.41 Zn.upf
ATOMIC_POSITIONS angstrom
Rb 1.479 2.590 0.000
Rb 2.590 6.658 0.000
Rb 5.547 1.479 0.000
Rb 6.658 5.547 0.000
Li 0.000 0.000 2.824
Li 4.068 4.068 2.824
Zn 0.951 5.020 2.824
Zn 3.117 0.951 2.824
Zn 5.020 7.185 2.824
Zn 7.185 3.117 2.824
CELL_PARAMETERS angstrom
8.137 0.000 0.000
0.000 8.137 0.000
0.000 0.000 5.647
! * E_form: 0.91 eV/f.u.
! * Fermi-level density of states: 0.64 states/eV/atom
! * distance to the lowest polymorph of the same formula: 0 meV/atom
! * total moment: 0.0 μB/cell
! * crystal system: tetragonal
! * total energy: -10.97 eV per cell



! PBE ReSb2Cl, relaxed; values from VASP
&SYSTEM
  ibrav = 0, nat = 4, ntyp = 3
/
ATOMIC_SPECIES
Re 186.21 Re.upf
Sb 121.76 Sb.upf
Cl 35.45 Cl.upf
ATOMIC_POSITIONS angstrom
Re 0.000 0.000 0.000
Sb 1.720 1.720 1.720
Sb 3.440 3.440 3.440
Cl 5.160 5.160 5.160
CELL_PARAMETERS angstrom
0.000 3.440 3.440
3.440 0.000 3.440
3.440 3.440 0.000
! * Fermi-level density of states: 0.69 states/eV/atom
! * distance to the lowest polymorph of the same formula: 734 meV/atom
! * total moment: 0.0 μB/cell
! * crystal system: cubic
! * total energy: -19.15 eV per cell



! PBE KNaPuS3, relaxed; values from VASP
&SYSTEM
  ibrav = 0, nat = 12, ntyp = 4
/
ATOMIC_SPECIES
K 39.10 K.upf
Na 22.99 Na.upf
Pu 244.00 Pu.upf
S 32.06 S.upf
ATOMIC_POSITIONS angstrom
K 0.514 1.019 1.693
K 7.193 3.056 8.239
Na 2.118 3.056 5.033
Na 5.590 1.019 4.899
Pu 3.291 1.019 8.201
Pu 4.417 3.056 1.731
S 1.187 1.019 6.734
S 2.334 3.056 9.806
S 3.292 1.019 3.109
S 4.415 3.056 6.823
S 5.374 1.019 0.126
S 6.520 3.056 3.198
CELL_PARAMETERS angstrom
7.763 0.000 0.000
0.000 4.075 0.000
-0.055 0.000 9.932
! * Fermi-level density of states: 1.33 states/eV/atom
! * total moment: 8.0 μB/cell
! * crystal system: monoclinic
! * total energy: -74.53 eV per cell



! PBE TbPm2Nd5, relaxed; values from VASP
&SYSTEM
  ibrav = 0, nat = 16, ntyp = 3
/
ATOMIC_SPECIES
Tb 158.93 Tb.upf
Pm 145.00 Pm.upf
Nd 144.24 Nd.upf
ATOMIC_POSITIONS angstrom
Tb 0.000 0.000 0.000
Tb 3.658 7.323 0.000
Pm 1.829 1.817 2.585
Pm 1.829 9.140 2.585
Pm 5.486 5.506 2.585
Pm 5.487 12.829 2.585
Nd 0.000 7.323 0.000
Nd 0.004 3.646 0.000
Nd 1.822 12.825 2.585
Nd 1.836 5.502 2.585
Nd 3.654 10.970 0.000
Nd 3.658 0.000 0.000
Nd 3.662 3.677 0.000
Nd 5.480 9.144 2.585
Nd 5.494 1.821 2.585
Nd 7.311 11.000 0.000
CELL_PARAMETERS angstrom
7.316 0.000 0.000
0.000 14.646 0.000
0.000 0.000 5.169
! * E_form: 0.11 eV/f.u.
! * Fermi-level density of states: 1.57 states/eV/atom
! * distance to the lowest polymorph of the same formula: 0 meV/atom
! * total moment: 0.0 μB/cell
! * crystal system: orthorhombic
! * total energy: -75.72 eV per cell



! PBE Y3Er4Sc, relaxed; values from VASP
&SYSTEM
  ibrav = 0, nat = 16, ntyp = 3
/
ATOMIC_SPECIES
Y 88.91 Y.upf
Er 167.26 Er.upf
Sc 44.96 Sc.upf
ATOMIC_POSITIONS angstrom
Y 5.716 1.308 0.000
Y 0.000 0.000 3.112
Y 1.308 3.099 0.000
Y 3.099 1.308 6.224
Y 0.000 0.000 9.335
Y -1.308 3.099 6.224
Er 5.728 -1.321 2.040
Er 3.087 -1.321 4.184
Er 3.087 1.321 2.040
Er 5.728 1.321 4.184
Er -1.321 3.087 2.040
Er 1.321 3.087 4.184
Er 1.321 5.728 2.040
Er -1.321 5.728 4.184
Sc 0.000 0.000 0.000
Sc 0.000 0.000 6.224
CELL_PARAMETERS angstrom
-4.407 4.407 6.224
4.407 -4.407 6.224
4.407 4.407 -6.224
! * E_form: 0.71 eV/f.u.
! * Fermi-level density of states: 1.21 states/eV/atom
! * distance to the lowest polymorph of the same formula: 78 meV/atom
! * total moment: 0.0 μB/cell
! * crystal system: tetragonal
! * total energy: -86.53 eV per cell



! PBE KHf2Cl2, relaxed; values from VASP
&SYSTEM
  ibrav = 0, nat = 10, ntyp = 3
/
ATOMIC_SPECIES
K 39.10 K.upf
Hf 178.49 Hf.upf
Cl 35.45 Cl.upf
ATOMIC_POSITIONS angstrom
K 0.000 0.000 0.000
K 4.830 4.830 0.000
Hf 1.033 3.797 1.615
Hf 3.797 8.627 1.615
Hf 5.864 1.033 1.615
Hf 8.627 5.864 1.615
Cl 1.124 5.955 0.000
Cl 3.706 1.124 0.000
Cl 5.955 8.536 0.000
Cl 8.536 3.706 0.000
CELL_PARAMETERS angstrom
9.660 0.000 0.000
0.000 9.660 0.000
0.000 0.000 3.229
! * Fermi-level density of states: 1.04 states/eV/atom
! * distance to the lowest polymorph of the same formula: 636 meV/atom
! * total moment: 0.0 μB/cell
! * crystal system: tetragonal
! * total energy: -47.81 eV per cell



! PBE HoTh2Al2, relaxed; values from VASP
&SYSTEM
  ibrav = 0, nat = 10, ntyp = 3
/
ATOMIC_SPECIES
Ho 164.93 Ho.upf
Th 232.04 Th.upf
Al 26.98 Al.upf
ATOMIC_POSITIONS angstrom
Ho 0.000 0.000 0.000
Ho 3.939 3.939 0.000
Th 1.373 2.566 2.228
Th 2.566 6.505 2.228
Th 5.312 1.373 2.228
Th 6.505 5.312 2.228
Al 0.944 4.883 0.000
Al 2.994 0.944 0.000
Al 4.883 6.933 0.000
Al 6.933 2.994 0.000
CELL_PARAMETERS angstrom
7.878 0.000 0.000
0.000 7.878 0.000
0.000 0.000 4.456
! * E_form: -1.35 eV/f.u.
! * Fermi-level density of states: 0.98 states/eV/atom
! * total moment: 0.0 μB/cell
! * crystal system: tetragonal
! * total energy: -56.50 eV per cell



! PBE Ta2TiNiH, relaxed; values from VASP
&SYSTEM
  ibrav = 0, nat = 5, ntyp = 4
/
ATOMIC_SPECIES
Ta 180.95 Ta.upf
Ti 47.87 Ti.upf
Ni 58.69 Ni.upf
H 1.01 H.upf
ATOMIC_POSITIONS angstrom
Ta 0.000 2.048 0.000
Ta 2.048 0.000 0.000
Ti 0.000 0.000 1.984
Ni 2.048 2.048 1.984
H 0.000 0.000 0.000
CELL_PARAMETERS angstrom
4.096 0.000 0.000
0.000 4.096 0.000
0.000 0.000 3.968
! * Fermi-level density of states: 0.78 states/eV/atom
! * total moment: 0.0 μB/cell
! * crystal system: tetragonal
! * total energy: -41.02 eV per cell



! PBE CrAgS, relaxed; values from VASP
&SYSTEM
  ibrav = 0, nat = 6, ntyp = 3
/
ATOMIC_SPECIES
Cr 52.00 Cr.upf
Ag 107.87 Ag.upf
S 32.06 S.upf
ATOMIC_POSITIONS angstrom
Cr 0.846 0.846 1.691
Cr 2.539 2.539 7.176
Ag 0.846 0.846 5.152
Ag 2.539 2.539 3.714
S 0.846 0.846 7.716
S 2.539 2.539 1.150
CELL_PARAMETERS angstrom
3.385 0.000 0.000
0.000 3.385 0.000
0.000 0.000 8.866
! * Fermi-level density of states: 0.23 states/eV/atom
! * total moment: 7.5 μB/cell
! * crystal system: tetragonal
! * total energy: -34.08 eV per cell



! PBE K2Zn2Sb, relaxed; values from VASP
&SYSTEM
  ibrav = 0, nat = 5, ntyp = 3
/
ATOMIC_SPECIES
K 39.10 K.upf
Zn 65.41 Zn.upf
Sb 121.76 Sb.upf
ATOMIC_POSITIONS angstrom
K 2.604 0.000 3.090
K 0.000 2.604 3.090
Zn 0.000 0.000 1.194
Zn 0.000 0.000 11.166
Sb 0.000 0.000 6.180
CELL_PARAMETERS angstrom
-2.604 2.604 6.180
2.604 -2.604 6.180
2.604 2.604 -6.180
! * Fermi-level density of states: 0.68 states/eV/atom
! * distance to the lowest polymorph of the same formula: 354 meV/atom
! * total moment: 0.0 μB/cell
! * crystal system: tetragonal
! * total energy: -7.62 eV per cell



! PBE U3As3C, relaxed; values from VASP
&SYSTEM
  ibrav = 0, nat = 14, ntyp = 3
/
ATOMIC_SPECIES
U 238.03 U.upf
As 74.92 As.upf
C 12.01 C.upf
ATOMIC_POSITIONS angstrom
U 0.613 0.000 2.212
U 1.418 1.857 5.454
U 1.418 -1.857 5.454
U 5.289 1.857 1.557
U 5.289 -1.857 1.557
U 6.094 0.000 4.799
As 3.890 3.824 0.000
As 3.353 2.798 3.506
As 3.089 0.000 0.901
As 3.618 0.000 6.111
As 3.353 -2.798 3.506
As 3.890 -3.824 0.000
C 0.569 0.000 4.548
C 6.138 0.000 2.463
CELL_PARAMETERS angstrom
3.890 -5.636 0.000
3.890 5.636 0.000
-1.072 0.000 7.011
! * E_form: -2.96 eV/f.u.
! * Fermi-level density of states: 1.87 states/eV/atom
! * total moment: 12.0 μB/cell
! * crystal system: monoclinic
! * total energy: -120.00 eV per cell



! PBE Sc3VCo, relaxed; values from VASP
&SYSTEM
  ibrav = 0, nat = 5, ntyp = 3
/
ATOMIC_SPECIES
Sc 44.96 Sc.upf
V 50.94 V.upf
Co 58.93 Co.upf
ATOMIC_POSITIONS angstrom
Sc 0.000 0.000 2.399
Sc 0.000 2.399 0.000
Sc 2.399 0.000 0.000
V 2.399 2.399 2.399
Co 0.000 0.000 0.000
CELL_PARAMETERS angstrom
4.797 0.000 0.000
0.000 4.797 0.000
0.000 0.000 4.797
! * E_form: 1.33 eV/f.u.
! * Fermi-level density of states: 1.07 states/eV/atom
! * distance to the lowest polymorph of the same formula: 0 meV/atom
! * total moment: 3.8 μB/cell
! * crystal system: cubic
! * total energy: -33.89 eV per cell



! PBE AlCuTeI2, relaxed; values from VASP
&SYSTEM
  ibrav = 0, nat = 5, ntyp = 4
/
ATOMIC_SPECIES
Al 26.98 Al.upf
Cu 63.55 Cu.upf
Te 127.60 Te.upf
I 126.90 I.upf
ATOMIC_POSITIONS angstrom
Al 0.000 0.000 0.000
Cu 2.737 2.737 2.595
Te 2.737 2.737 0.000
I 0.000 2.737 2.595
I 2.737 0.000 2.595
CELL_PARAMETERS angstrom
5.475 0.000 0.000
0.000 5.475 0.000
0.000 0.000 5.190
! * Fermi-level density of states: 0.84 states/eV/atom
! * distance to the lowest polymorph of the same formula: 0 meV/atom
! * total moment: 0.0 μB/cell
! * crystal system: tetragonal
! * total energy: -12.73 eV per cell



! PBE Na4HfSc3Se8, relaxed; values from VASP
&SYSTEM
  ibrav = 0, nat = 16, ntyp = 4
/
ATOMIC_SPECIES
Na 22.99 Na.upf
Hf 178.49 Hf.upf
Sc 44.96 Sc.upf
Se 78.96 Se.upf
ATOMIC_POSITIONS angstrom
Na 0.000 0.000 0.000
Na -1.955 -1.129 7.007
Na -1.955 1.129 14.014
Na 0.000 2.257 7.007
Hf 0.000 0.000 10.511
Sc -3.910 0.000 10.511
Sc -1.955 1.129 3.504
Sc 1.955 1.129 3.504
Se 0.000 0.000 5.045
Se -1.934 -1.117 12.055
Se 0.000 -2.233 8.966
Se -1.934 1.117 8.966
Se 1.934 -1.117 12.055
Se 0.000 2.233 12.055
Se 1.934 1.117 8.966
Se 0.000 0.000 15.976
CELL_PARAMETERS angstrom
3.910 2.257 7.007
-3.910 2.257 7.007
0.000 -4.514 7.007
! * Fermi-level density of states: 0.26 states/eV/atom
! * total moment: 0.0 μB/cell
! * crystal system: trigonal
! * total energy: -86.15 eV per cell



! PBE ZrNi2Ru, relaxed; values from VASP
&SYSTEM
  ibrav = 0, nat = 8, ntyp = 3
/
ATOMIC_SPECIES
Zr 91.22 Zr.upf
Ni 58.69 Ni.upf
Ru 101.07 Ru.upf
ATOMIC_POSITIONS angstrom
Zr 0.000 0.000 0.000
Zr 0.000 1.860 4.494
Ni 0.930 -0.821 6.741
Ni 1.039 0.930 2.247
Ni 0.930 2.681 -2.247
Ni 0.821 0.930 11.235
Ru 1.860 0.000 4.494
Ru 0.000 0.000 8.988
CELL_PARAMETERS angstrom
-1.860 1.860 8.988
1.860 -1.860 8.988
1.860 1.860 -8.988
! * E_form: 0.61 eV/f.u.
! * Fermi-level density of states: 0.88 states/eV/atom
! * total moment: 0.0 μB/cell
! * crystal system: tetragonal
! * total energy: -57.55 eV per cell